A plane-wave DFT calculation with GGA+U was carried out for crystalline Cs2NpMoO6 at its relaxed geometry.

Cell and atoms, written as CIF:
```
data_Cs2NpMoO6
_chemical_formula_sum 'Cs8 Np4 Mo4 O24'
_cell_length_a 8.279
_cell_length_b 8.303
_cell_length_c 11.683
_cell_angle_alpha 90.00
_cell_angle_beta 90.00
_cell_angle_gamma 90.00
_space_group_name_H-M_alt 'F m m m'
_space_group_IT_number 69
_space_group_name_Hall '-F 2 2'
loop_
_atom_site_label
_atom_site_type_symbol
_atom_site_fract_x
_atom_site_fract_y
_atom_site_fract_z
Cs1 Cs 0.250 0.250 0.250
Np1 Np 0.000 0.000 0.000
Mo1 Mo 0.000 0.000 0.500
O1 O 0.000 0.000 0.160
O2 O 0.000 0.230 0.500
O3 O 0.234 0.000 0.500
```

Output
M_tot ... 4.00 Bohr magnetons per cell
Final energy ... -7.24 eV/atom